No. 1
First-principles (SCAN) data for AlCoPdS2 at its PBEsol-relaxed geometry, as listed in the Alexandria database.

For the total energy, the calculation gives -14.765 eV/atom. The density of states at the Fermi level comes out at 0.796 states/eV per atom. As for the uncorrected formation energy: 652 meV per atom.

It has space group P4/mmm (No. 123), with a = 4.4203 Å, b = 4.4203 Å, c = 4.4174 Å, α = 90.00°, β = 90.00° and γ = 90.00°. The distinct sites, in fractional coordinates, are Al at (0.0000, 0.0000, 0.0000), Co at (0.0000, 0.0000, 0.5000), Pd at (0.5000, 0.5000, 0.5000) and S at (0.0000, 0.5000, 0.0000).



No. 2
First-principles (SCAN) data for Al2TlCoPd at its PBEsol-relaxed geometry, as listed in the Alexandria database.

For the total energy, the calculation gives -27.341 eV/atom. The density of states at the Fermi level comes out at 0.481 states/eV per atom.

It has space group P4/mmm (No. 123), with a = 4.4249 Å, b = 4.4249 Å, c = 4.7746 Å, α = 90.00°, β = 90.00° and γ = 90.00°. The distinct sites, in fractional coordinates, are Al at (0.0000, 0.5000, 0.0000), Tl at (0.0000, 0.0000, 0.5000), Co at (0.5000, 0.5000, 0.0000) and Pd at (0.5000, 0.5000, 0.5000).



No. 3
First-principles (SCAN) data for PrAl4Co at its PBEsol-relaxed geometry, as listed in the Alexandria database.

For the total energy, the calculation gives -15.793 eV/atom. The density of states at the Fermi level comes out at 0.211 states/eV per atom.

It has space group Pmma (No. 51), with a = 7.6320 Å, b = 4.0009 Å, c = 6.8519 Å, α = 90.00°, β = 90.00° and γ = 90.00°. The distinct sites, in fractional coordinates, are Pr at (0.2500, 0.0000, 0.1155), Al at (0.0000, 0.0000, 0.5000), Al at (0.0704, 0.5000, 0.7991), Al at (0.2500, 0.5000, 0.4582) and Co at (0.2500, 0.0000, 0.6840).



No. 4
First-principles (SCAN) data for Pr2AlCo2 at its PBEsol-relaxed geometry, as listed in the Alexandria database.

For the total energy, the calculation gives -25.917 eV/atom. The density of states at the Fermi level comes out at 0.850 states/eV per atom.

It has space group Immm (No. 71), with a = 3.9943 Å, b = 5.4809 Å, c = 8.8285 Å, α = 90.00°, β = 90.00° and γ = 90.00°. The distinct sites, in fractional coordinates, are Pr at (0.0000, 0.0000, 0.2014), Al at (0.0000, 0.5000, 0.0000) and Co at (0.0000, 0.2791, 0.5000).



No. 5
First-principles (SCAN) data for Pr2Al3Co14 at its PBEsol-relaxed geometry, as listed in the Alexandria database.

For the total energy, the calculation gives -18.598 eV/atom. The density of states at the Fermi level comes out at 1.036 states/eV per atom.

It has space group R-3m (No. 166, hexagonal axes), with a = 8.3126 Å, b = 8.3126 Å, c = 12.2251 Å, α = 90.00°, β = 90.00° and γ = 120.00°. The distinct sites, in fractional coordinates, are Pr at (0.0000, 0.0000, 0.1563), Al at (0.0000, 0.5000, 0.0000), Co at (0.0000, 0.0000, 0.4079), Co at (0.0000, 0.2855, 0.5000) and Co at (0.0044, 0.5022, 0.6570).



No. 6
First-principles (SCAN) data for Pr2Al2Co15 at its PBEsol-relaxed geometry, as listed in the Alexandria database.

For the total energy, the calculation gives -19.105 eV/atom. The density of states at the Fermi level comes out at 0.651 states/eV per atom.

It has space group R-3m (No. 166, hexagonal axes), with a = 8.2936 Å, b = 8.2936 Å, c = 12.1179 Å, α = 90.00°, β = 90.00° and γ = 120.00°. The distinct sites, in fractional coordinates, are Pr at (0.0000, 0.0000, 0.1468), Al at (0.0000, 0.0000, 0.3948), Co at (0.0000, 0.2839, 0.5000), Co at (0.0000, 0.5000, 0.0000) and Co at (0.0050, 0.5025, 0.3496).



No. 7
First-principles (SCAN) data for Pr2AlCo2 at its PBEsol-relaxed geometry, as listed in the Alexandria database.

For the total energy, the calculation gives -25.939 eV/atom. The density of states at the Fermi level comes out at 0.633 states/eV per atom.

It has space group C2/c (No. 15), with a = 9.4691 Å, b = 5.5812 Å, c = 7.5305 Å, α = 90.00°, β = 103.51° and γ = 90.00°. The distinct sites, in fractional coordinates, are Pr at (0.1456, 0.1435, 0.1466), Al at (0.0000, 0.3825, 0.7500) and Co at (0.1434, 0.3579, 0.5051).



No. 8
First-principles (SCAN) data for Al2CoPt at its PBEsol-relaxed geometry, as listed in the Alexandria database.

For the total energy, the calculation gives -26.672 eV/atom. The density of states at the Fermi level comes out at 0.235 states/eV per atom.

It has space group P4/mmm (No. 123), with a = 3.9243 Å, b = 3.9243 Å, c = 3.3365 Å, α = 90.00°, β = 90.00° and γ = 90.00°. The distinct sites, in fractional coordinates, are Al at (0.0000, 0.5000, 0.0000), Co at (0.0000, 0.0000, 0.5000) and Pt at (0.5000, 0.5000, 0.5000).



No. 9
First-principles (SCAN) data for AlCoPt at its PBEsol-relaxed geometry, as listed in the Alexandria database.

For the total energy, the calculation gives -32.172 eV/atom. As for the energy above the lowest structure with this stoichiometry: 0.000 eV per atom. The density of states at the Fermi level comes out at 0.839 states/eV per atom.

It has space group F-43m (No. 216), with a = 5.7419 Å, b = 5.7419 Å, c = 5.7419 Å, α = 90.00°, β = 90.00° and γ = 90.00°. The distinct sites, in fractional coordinates, are Al at (0.0000, 0.0000, 0.0000), Co at (0.0000, 0.0000, 0.5000) and Pt at (0.2500, 0.2500, 0.7500).



No. 10
First-principles (SCAN) data for Al2CoPt at its PBEsol-relaxed geometry, as listed in the Alexandria database.

For the total energy, the calculation gives -26.316 eV/atom. The density of states at the Fermi level comes out at 0.395 states/eV per atom.

It has space group R-3m (No. 166, hexagonal axes), with a = 2.7988 Å, b = 2.7988 Å, c = 23.6727 Å, α = 90.00°, β = 90.00° and γ = 120.00°. The distinct sites, in fractional coordinates, are Al at (0.0000, 0.0000, 0.2441), Co at (0.0000, 0.0000, 0.5000) and Pt at (0.0000, 0.0000, 0.0000).



No. 11
First-principles (SCAN) data for AlCo2Pt at its PBEsol-relaxed geometry, as listed in the Alexandria database.

For the total energy, the calculation gives -28.561 eV/atom. The density of states at the Fermi level comes out at 0.541 states/eV per atom.

It has space group C2/m (No. 12), with a = 8.6773 Å, b = 2.6917 Å, c = 4.3350 Å, α = 90.00°, β = 102.98° and γ = 90.00°. The distinct sites, in fractional coordinates, are Al at (0.0000, 0.0000, 0.0000), Co at (0.2464, 0.5000, 0.2412) and Pt at (0.0000, 0.5000, 0.5000).



No. 12
First-principles (SCAN) data for AlCo4Pt at its PBEsol-relaxed geometry, as listed in the Alexandria database.

For the total energy, the calculation gives -24.671 eV/atom. The density of states at the Fermi level comes out at 0.860 states/eV per atom.

It has space group F-43m (No. 216), with a = 6.5738 Å, b = 6.5738 Å, c = 6.5738 Å, α = 90.00°, β = 90.00° and γ = 90.00°. The distinct sites, in fractional coordinates, are Al at (0.0000, 0.0000, 0.0000), Co at (0.1251, 0.1251, 0.3749) and Pt at (0.2500, 0.2500, 0.7500).



No. 13
First-principles (SCAN) data for Al2Co2Pt at its PBEsol-relaxed geometry, as listed in the Alexandria database.

For the total energy, the calculation gives -24.500 eV/atom. The density of states at the Fermi level comes out at 0.772 states/eV per atom.

It has space group P4/mbm (No. 127), with a = 6.7463 Å, b = 6.7463 Å, c = 2.7326 Å, α = 90.00°, β = 90.00° and γ = 90.00°. The distinct sites, in fractional coordinates, are Al at (0.1783, 0.3217, 0.0000), Co at (0.1190, 0.6190, 0.5000) and Pt at (0.0000, 0.0000, 0.5000).



No. 14
First-principles (SCAN) data for AlCoSbPt2 at its PBEsol-relaxed geometry, as listed in the Alexandria database.

For the total energy, the calculation gives -39.625 eV/atom. The density of states at the Fermi level comes out at 0.744 states/eV per atom. As for the uncorrected formation energy: 915 meV per atom.

It has space group P4/mmm (No. 123), with a = 4.8861 Å, b = 4.8861 Å, c = 4.5642 Å, α = 90.00°, β = 90.00° and γ = 90.00°. The distinct sites, in fractional coordinates, are Al at (0.0000, 0.0000, 0.0000), Co at (0.5000, 0.5000, 0.0000), Sb at (0.5000, 0.5000, 0.5000) and Pt at (0.0000, 0.5000, 0.5000).



No. 15
First-principles (SCAN) data for AlZnCo2Pt at its PBEsol-relaxed geometry, as listed in the Alexandria database.

For the total energy, the calculation gives -24.476 eV/atom. The density of states at the Fermi level comes out at 0.459 states/eV per atom.

It has space group P4/mmm (No. 123), with a = 4.5757 Å, b = 4.5757 Å, c = 4.6232 Å, α = 90.00°, β = 90.00° and γ = 90.00°. The distinct sites, in fractional coordinates, are Al at (0.0000, 0.0000, 0.0000), Zn at (0.5000, 0.5000, 0.0000), Co at (0.0000, 0.5000, 0.5000) and Pt at (0.5000, 0.5000, 0.5000).



No. 16
First-principles (SCAN) data for AlCoRe3 at its PBEsol-relaxed geometry, as listed in the Alexandria database.

For the total energy, the calculation gives -46.105 eV/atom. The density of states at the Fermi level comes out at 0.858 states/eV per atom.

It has space group Pm-3m (No. 221), with a = 4.3552 Å, b = 4.3552 Å, c = 4.3552 Å, α = 90.00°, β = 90.00° and γ = 90.00°. The distinct sites, in fractional coordinates, are Al at (0.0000, 0.0000, 0.0000), Co at (0.5000, 0.5000, 0.5000) and Re at (0.0000, 0.5000, 0.5000).



No. 17
First-principles (SCAN) data for AlCoRe2 at its PBEsol-relaxed geometry, as listed in the Alexandria database.

For the total energy, the calculation gives -41.851 eV/atom. The density of states at the Fermi level comes out at 0.627 states/eV per atom.

It has space group I4/mmm (No. 139), with a = 3.6535 Å, b = 3.6535 Å, c = 7.9433 Å, α = 90.00°, β = 90.00° and γ = 90.00°. The distinct sites, in fractional coordinates, are Al at (0.0000, 0.0000, 0.0000), Co at (0.0000, 0.0000, 0.5000) and Re at (0.0000, 0.5000, 0.2500).



No. 18
First-principles (SCAN) data for Al2CoRe at its PBEsol-relaxed geometry, as listed in the Alexandria database.

For the total energy, the calculation gives -26.273 eV/atom. The density of states at the Fermi level comes out at 0.371 states/eV per atom.

It has space group Cm (No. 8), with a = 9.4061 Å, b = 2.7119 Å, c = 4.4545 Å, α = 90.00°, β = 111.92° and γ = 90.00°. The distinct sites, in fractional coordinates, are Al at (0.0000, 0.0000, 0.0000), Al at (0.2180, 0.0000, 0.6200), Co at (0.2367, 0.5000, 0.0988) and Re at (0.4588, 0.0000, 0.4752).



No. 19
First-principles (SCAN) data for AlCoRe2 at its PBEsol-relaxed geometry, as listed in the Alexandria database.

For the total energy, the calculation gives -41.845 eV/atom. The density of states at the Fermi level comes out at 0.541 states/eV per atom.

It has space group R3m (No. 160, hexagonal axes), with a = 2.7296 Å, b = 2.7296 Å, c = 25.1274 Å, α = 90.00°, β = 90.00° and γ = 120.00°. The distinct sites, in fractional coordinates, are Al at (0.0000, 0.0000, 0.0000), Co at (0.0000, 0.0000, 0.7438), Re at (0.0000, 0.0000, 0.2444) and Re at (0.0000, 0.0000, 0.4915).



No. 20
First-principles (SCAN) data for AlCo2Re at its PBEsol-relaxed geometry, as listed in the Alexandria database.

For the total energy, the calculation gives -28.580 eV/atom. The density of states at the Fermi level comes out at 0.574 states/eV per atom.

It has space group P4/mmm (No. 123), with a = 2.6671 Å, b = 2.6671 Å, c = 6.6012 Å, α = 90.00°, β = 90.00° and γ = 90.00°. The distinct sites, in fractional coordinates, are Al at (0.0000, 0.0000, 0.0000), Co at (0.5000, 0.5000, 0.2389) and Re at (0.0000, 0.0000, 0.5000).